Entry from the Open Quantum Materials Database: a relaxed GaCoPdAu crystal (PBE).

For the total energy, the calculation gives -4.74 eV/atom. As for the crystal system: cubic. The excess energy over the best structure of this formula in the dataset is 0.000 eV per atom.

The structure belongs to space group F-43m (No. 216); the cell edges are 6.176, 6.176 and 6.176 Å and the angles 90.00°, 90.00° and 90.00°. The inequivalent atoms are Ga at (0.000, 0.000, 0.000), Co at (0.250, 0.250, 0.750), Pd at (0.250, 0.250, 0.250) and Au at (0.000, 0.000, 0.500).


Entry from the Open Quantum Materials Database: a relaxed Sc2Ga4CoAu crystal (PBE).

For the total energy, the calculation gives -4.94 eV/atom. As for the crystal system: orthorhombic.

The structure belongs to space group Amm2 (No. 38); the cell edges are 6.642, 4.160 and 9.783 Å and the angles 90.00°, 90.00° and 90.00°. The inequivalent atoms are Sc at (0.000, 0.000, 0.000), Sc at (0.500, 0.000, 0.155), Ga at (0.189, 0.000, 0.704), Ga at (0.282, 0.000, 0.440), Co at (0.000, 0.000, 0.278) and Au at (0.500, 0.000, 0.868).


Entry from the Open Quantum Materials Database: a relaxed TaGaCoAu crystal (PBE).

For the total energy, the calculation gives -6.24 eV/atom. As for the crystal system: cubic. The excess energy over the best structure of this formula in the dataset is 0.053 eV per atom.

The structure belongs to space group F-43m (No. 216); the cell edges are 6.252, 6.252 and 6.252 Å and the angles 90.00°, 90.00° and 90.00°. The inequivalent atoms are Ta at (0.000, 0.000, 0.000), Ga at (0.250, 0.250, 0.250), Co at (0.000, 0.000, 0.500) and Au at (0.250, 0.250, 0.750).


Entry from the Open Quantum Materials Database: a relaxed TaGaCoAu crystal (PBE).

For the total energy, the calculation gives -6.30 eV/atom. As for the crystal system: cubic. The excess energy over the best structure of this formula in the dataset is 0.000 eV per atom.

The structure belongs to space group F-43m (No. 216); the cell edges are 6.215, 6.215 and 6.215 Å and the angles 90.00°, 90.00° and 90.00°. The inequivalent atoms are Ta at (0.000, 0.000, 0.000), Ga at (0.250, 0.250, 0.250), Co at (0.250, 0.250, 0.750) and Au at (0.000, 0.000, 0.500).